Record 1
NaEr2CrO5 | GGA+U | optimized geometry

The volume comes out at 234.8 Å³/cell. Its energy is -7.34 eV per atom.

The structure belongs to space group P4/mbm (No. 127); the cell edges are 6.431, 6.431 and 5.678 Å and the angles 90.00°, 90.00° and 90.00°. The asymmetric unit holds Na at (0.000, 0.000, 0.000), Er at (0.178, 0.322, 0.500), Cr at (0.000, 0.500, 0.000), O at (0.000, 0.000, 0.500) and O at (0.139, 0.639, 0.247).

***

Record 2
Na3ErCr2O6 | GGA+U | optimized geometry

The volume comes out at 282.3 Å³/cell. Its energy is -6.63 eV per atom.

The structure belongs to space group C2/m (No. 12); the cell edges are 5.451, 9.449 and 5.772 Å and the angles 90.00°, 108.25° and 90.00°. The asymmetric unit holds Na at (0.000, 0.000, 0.000), Na at (0.000, 0.329, 0.000), Er at (0.000, 0.500, 0.500), Cr at (0.000, 0.167, 0.500), O at (0.212, 0.000, 0.704) and O at (0.245, 0.322, 0.702).